Material: Sc2CoRu
Method: DFT, meta-GGA SCAN
State: PBEsol geometry

Unit cell a=2.9407 b=4.1203 c=5.2388 alpha=90.00 beta=90.00 gamma=90.00
Fractional positions:
Co  0.0000  0.0000  0.4689
Ru  0.5000  0.5000  0.7818
Sc  0.0000  0.0000  0.9475
Sc  0.5000  0.5000  0.3017

Computed properties:
Calculated formation energy in eV per atom: -0.02
Size of the total moment in μB/cell: 0.00
Calculated volume in Å³/cell: 63.5